MnOF2 | PBE+U | relaxed

Calculated volume = 137.3 Å³ per cell
Total energy = -47.19 eV for the cell shown

abc: 3.259 8.032 5.387
angles: 79.68 89.45 98.10
Site moments in Bohr magnetons follow the coordinates.
Element x y z (fractional)
Mn1 0.313 0.682 0.518  4.68
Mn2 0.687 0.318 0.482  4.68
O1 0.409 0.930 0.051  0.81
O2 0.591 0.070 0.949  0.81
F1 0.783 0.584 0.310  0.06
F2 0.217 0.416 0.690  0.06
F3 0.850 0.797 0.642  0.06
F4 0.150 0.203 0.358  0.06